No. 1
The following is a DFT calculation (PBE) of a relaxed BeBBr3 crystal.

Unit cell a=4.8391 b=4.8391 c=4.8391 alpha=90.00 beta=90.00 gamma=90.00
With the nearest neighbours (Å) after each atom.
Sites, in units of the cell vectors:
Be (0.0000, 0.0000, 0.0000)  6 Br 2.42
B (0.5000, 0.5000, 0.5000)  12 Br 3.42
Br (0.0000, 0.5000, 0.0000)  2 Be 2.42
Br (0.0000, 0.0000, 0.5000)  2 Be 2.42
Br (0.5000, 0.0000, 0.0000)  2 Be 2.42

**Formation energy from raw total energies**: 0.582 eV/atom
**Offset from the most stable computed form**: 0 meV per atom


No. 2
The following is a DFT calculation (PBE) of a relaxed SbCl crystal.

Unit cell a=3.1848 b=6.1886 c=6.3087 alpha=90.00 beta=90.00 gamma=90.00
With the nearest neighbours (Å) after each atom.
Sites, in units of the cell vectors:
Cl (0.0000, 0.0000, 0.9765)  2 Sb 2.70
Cl (0.0000, 0.5000, 0.3569)  2 Sb 2.70
Sb (0.5000, 0.0000, 0.6310)  2 Cl 2.70
Sb (0.5000, 0.5000, 0.7023)  2 Cl 2.70

**Formation energy from raw total energies**: -0.215 eV/atom
**Offset from the most stable computed form**: 260 meV per atom


No. 3
The following is a DFT calculation (PBE) of a relaxed Cr3Rh crystal.

Unit cell a=4.8031 b=4.8031 c=4.8031 alpha=145.06 beta=128.01 gamma=64.17
With the nearest neighbours (Å) after each atom.
Sites, in units of the cell vectors:
Cr (0.0189, 0.0189, 0.0000)  6 Cr 2.37-2.57, 2 Rh 2.62
Cr (0.2500, 0.7500, 0.5000)  4 Cr 2.37, 4 Rh 2.55
Cr (0.4811, 0.4811, 0.0000)  6 Cr 2.37-2.57, 2 Rh 2.62
Rh (0.7500, 0.2500, 0.5000)  12 Cr 2.55-2.82

**Calculated formation energy**: 0.41 eV/f.u.
**Offset from the most stable computed form**: 60 meV per atom


No. 4
The following is a DFT calculation (PBE) of a relaxed RbH3Br crystal.

Unit cell a=4.3347 b=4.3347 c=4.3347 alpha=90.00 beta=90.00 gamma=90.00
With the nearest neighbours (Å) after each atom.
Sites, in units of the cell vectors:
H (0.0000, 0.5000, 0.0000)  2 Br 2.17
H (0.0000, 0.0000, 0.5000)  2 Br 2.17
H (0.5000, 0.0000, 0.0000)  2 Br 2.17
Br (0.0000, 0.0000, 0.0000)  6 H 2.17
Rb (0.5000, 0.5000, 0.5000)  12 H 3.07

**Offset from the most stable computed form**: 765 meV per atom


No. 5
The following is a DFT calculation (PBE) of a relaxed LaSm6Ho3Tm2 crystal.

Unit cell a=6.2229 b=6.2229 c=11.8782 alpha=95.01 beta=95.01 gamma=119.99
With the nearest neighbours (Å) after each atom.
Sites, in units of the cell vectors:
La (0.0000, 0.0000, 0.0000)  6 Tm 3.59, 6 Sm 3.61
Sm (0.9155, 0.5807, 0.7479)  3 Ho 3.56-3.57, 6 Sm 3.58-3.61, 2 Tm 3.60, 1 La 3.61
Sm (0.7497, 0.7497, 0.2522)  3 Ho 3.56-3.57, 6 Sm 3.58-3.61, 2 Tm 3.60, 1 La 3.61
Sm (0.0845, 0.4193, 0.2521)  3 Ho 3.56-3.57, 6 Sm 3.58-3.61, 2 Tm 3.60, 1 La 3.61
Sm (0.5807, 0.9155, 0.7479)  3 Ho 3.56-3.57, 6 Sm 3.58-3.61, 2 Tm 3.60, 1 La 3.61
Sm (0.2503, 0.2503, 0.7478)  3 Ho 3.56-3.57, 6 Sm 3.58-3.61, 2 Tm 3.60, 1 La 3.61
Sm (0.4193, 0.0845, 0.2521)  3 Ho 3.56-3.57, 6 Sm 3.58-3.61, 2 Tm 3.60, 1 La 3.61
Ho (0.1672, 0.8328, 0.5000)  6 Sm 3.56-3.57, 6 Ho 3.59-3.60
Ho (0.8328, 0.1672, 0.5000)  6 Sm 3.56-3.57, 6 Ho 3.59-3.60
Ho (0.5000, 0.5000, 0.5000)  6 Sm 3.56-3.57, 6 Ho 3.59-3.60
Tm (0.3334, 0.6666, 0.0000)  3 Tm 3.59, 3 La 3.59, 6 Sm 3.60
Tm (0.6666, 0.3334, 0.0000)  3 Tm 3.59, 3 La 3.59, 6 Sm 3.60

**Calculated formation energy**: 0.25 eV/f.u.


No. 6
The following is a DFT calculation (PBE) of a relaxed CdCo2P crystal.

Unit cell a=4.1972 b=4.1972 c=4.1972 alpha=60.00 beta=60.00 gamma=60.00
With the nearest neighbours (Å) after each atom.
Sites, in units of the cell vectors:
P (0.0000, 0.0000, 0.0000)  8 Co 2.57
Co (0.2500, 0.2500, 0.2500)  4 Cd 2.57, 4 P 2.57
Co (0.7500, 0.7500, 0.7500)  4 Cd 2.57, 4 P 2.57
Cd (0.5000, 0.5000, 0.5000)  8 Co 2.57

**Calculated formation energy**: 1.05 eV/f.u.
**Offset from the most stable computed form**: 400 meV per atom


Let's list total DFT energy (no corrections) in order: -12.5; -12.8; -35.8; -10.4; -55.7; -19.5 eV per cell.